VASP calculation (PBE-GGA) on TbSm2Zr after structural relaxation.

Cell and atoms, written as CIF:
```
data_TbSm2Zr
_chemical_formula_sum 'Tb1 Sm2 Zr1'
_cell_length_a 3.4952
_cell_length_b 3.4952
_cell_length_c 11.5360
_cell_angle_alpha 81.29
_cell_angle_beta 81.29
_cell_angle_gamma 60.00
_symmetry_space_group_name_H-M 'P 1'
_symmetry_Int_Tables_number 1
loop_
_symmetry_equiv_pos_as_xyz
'x,y,z'
loop_
_atom_site_label
_atom_site_type_symbol
_atom_site_fract_x
_atom_site_fract_y
_atom_site_fract_z
Tb1 Tb 0.4995 0.4995 0.5015
Sm1 Sm 0.0787 0.0787 0.7640
Sm2 Sm 0.2548 0.2548 0.2354
Zr1 Zr 0.6670 0.6670 0.9991
```

Values from the calculation:
**Volume**: 30.04 Å³ per atom
**Distance to the lowest polymorph of the same formula**: 0.0 meV per atom
**Total moment**: 0.00 μB/cell
**Total energy**: -5.55 eV per atom
**Crystal system**: trigonal
**Energy relative to the elements**: 107.4 meV per atom

VASP calculation (PBE-GGA) on Tb2SmZr after structural relaxation.

Cell and atoms, written as CIF:
```
data_Tb2SmZr
_chemical_formula_sum 'Tb2 Sm1 Zr1'
_cell_length_a 3.3812
_cell_length_b 3.3812
_cell_length_c 12.2161
_cell_angle_alpha 82.05
_cell_angle_beta 82.05
_cell_angle_gamma 60.00
_symmetry_space_group_name_H-M 'P 1'
_symmetry_Int_Tables_number 1
loop_
_symmetry_equiv_pos_as_xyz
'x,y,z'
loop_
_atom_site_label
_atom_site_type_symbol
_atom_site_fract_x
_atom_site_fract_y
_atom_site_fract_z
Tb1 Tb 0.0856 0.0856 0.7432
Tb2 Tb 0.9144 0.9144 0.2568
Zr1 Zr 0.0000 0.0000 0.0000
Sm1 Sm 0.5000 0.5000 0.5000
```

Values from the calculation:
**Volume**: 29.85 Å³ per atom
**Distance to the lowest polymorph of the same formula**: 223.7 meV per atom
**Total moment**: 0.00 μB/cell
**Total energy**: -5.32 eV per atom
**Crystal system**: trigonal
**Energy relative to the elements**: 310.0 meV per atom

VASP calculation (PBE-GGA) on Tb8Sm2Zr after structural relaxation.

Cell and atoms, written as CIF:
```
data_Tb8Sm2Zr
_chemical_formula_sum 'Tb8 Sm2 Zr1'
_cell_length_a 6.6319
_cell_length_b 9.9481
_cell_length_c 9.9481
_cell_angle_alpha 38.61
_cell_angle_beta 61.08
_cell_angle_gamma 61.08
_symmetry_space_group_name_H-M 'P 1'
_symmetry_Int_Tables_number 1
loop_
_symmetry_equiv_pos_as_xyz
'x,y,z'
loop_
_atom_site_label
_atom_site_type_symbol
_atom_site_fract_x
_atom_site_fract_y
_atom_site_fract_z
Tb1 Tb 0.2264 0.3366 0.8232
Tb2 Tb 0.7736 0.1768 0.6634
Tb3 Tb 0.1591 0.7552 0.7552
Tb4 Tb 0.8409 0.2448 0.2448
Tb5 Tb 0.2264 0.8232 0.3366
Tb6 Tb 0.7736 0.6634 0.1768
Tb7 Tb 0.7303 0.5934 0.5934
Tb8 Tb 0.2697 0.4066 0.4066
Sm1 Sm 0.5527 0.8160 0.8160
Sm2 Sm 0.4473 0.1840 0.1840
Zr1 Zr 0.0000 0.0000 0.0000
```

Values from the calculation:
**Volume**: 31.97 Å³ per atom
**Distance to the lowest polymorph of the same formula**: 159.1 meV per atom
**Total moment**: 0.00 μB/cell
**Total energy**: -4.80 eV per atom
**Crystal system**: monoclinic
**Energy relative to the elements**: 202.4 meV per atom

VASP calculation (PBE-GGA) on SmTc after structural relaxation.

Cell and atoms, written as CIF:
```
data_SmTc
_chemical_formula_sum 'Sm2 Tc2'
_cell_length_a 4.6302
_cell_length_b 4.0511
_cell_length_c 5.7977
_cell_angle_alpha 90.00
_cell_angle_beta 113.60
_cell_angle_gamma 90.00
_symmetry_space_group_name_H-M 'P 1'
_symmetry_Int_Tables_number 1
loop_
_symmetry_equiv_pos_as_xyz
'x,y,z'
loop_
_atom_site_label
_atom_site_type_symbol
_atom_site_fract_x
_atom_site_fract_y
_atom_site_fract_z
Tc1 Tc 0.9400 0.2500 0.8849
Tc2 Tc 0.0600 0.7500 0.1151
Sm1 Sm 0.6460 0.2500 0.2904
Sm2 Sm 0.3540 0.7500 0.7096
```

Values from the calculation:
**Volume**: 24.91 Å³ per atom
**Distance to the lowest polymorph of the same formula**: 69.7 meV per atom
**Total moment**: 0.00 μB/cell
**Total energy**: -7.46 eV per atom
**Crystal system**: monoclinic
**Energy relative to the elements**: 86.5 meV per atom

VASP calculation (PBE-GGA) on SmTc2 after structural relaxation.

Cell and atoms, written as CIF:
```
data_SmTc2
_chemical_formula_sum 'Sm2 Tc4'
_cell_length_a 5.4603
_cell_length_b 5.4603
_cell_length_c 5.4603
_cell_angle_alpha 60.00
_cell_angle_beta 60.00
_cell_angle_gamma 60.00
_symmetry_space_group_name_H-M 'P 1'
_symmetry_Int_Tables_number 1
loop_
_symmetry_equiv_pos_as_xyz
'x,y,z'
loop_
_atom_site_label
_atom_site_type_symbol
_atom_site_fract_x
_atom_site_fract_y
_atom_site_fract_z
Tc1 Tc 0.1250 0.6250 0.6250
Tc2 Tc 0.6250 0.1250 0.6250
Tc3 Tc 0.6250 0.6250 0.6250
Tc4 Tc 0.6250 0.6250 0.1250
Sm1 Sm 0.0000 0.0000 0.0000
Sm2 Sm 0.2500 0.2500 0.2500
```

Values from the calculation:
**Volume**: 19.19 Å³ per atom
**Distance to the lowest polymorph of the same formula**: 38.7 meV per atom
**Total moment**: 0.02 μB/cell
**Total energy**: -8.50 eV per atom
**Crystal system**: cubic
**Energy relative to the elements**: -16.7 meV per atom

VASP calculation (PBE-GGA) on Sm3Tc after structural relaxation.

Cell and atoms, written as CIF:
```
data_Sm3Tc
_chemical_formula_sum 'Sm3 Tc1'
_cell_length_a 3.6269
_cell_length_b 3.4389
_cell_length_c 9.5520
_cell_angle_alpha 90.00
_cell_angle_beta 90.00
_cell_angle_gamma 90.00
_symmetry_space_group_name_H-M 'P 1'
_symmetry_Int_Tables_number 1
loop_
_symmetry_equiv_pos_as_xyz
'x,y,z'
loop_
_atom_site_label
_atom_site_type_symbol
_atom_site_fract_x
_atom_site_fract_y
_atom_site_fract_z
Tc1 Tc 0.0000 0.0000 0.9721
Sm1 Sm 0.0000 0.5000 0.4693
Sm2 Sm 0.5000 0.5000 0.1325
Sm3 Sm 0.5000 0.0000 0.7594
```

Values from the calculation:
**Volume**: 29.78 Å³ per atom
**Total moment**: 0.00 μB/cell
**Total energy**: -5.76 eV per atom
**Crystal system**: orthorhombic
**Energy relative to the elements**: 368.7 meV per atom

Question: The lowest total energy belongs to which entry?
Answer: SmTc2